[1]
This record from the Alexandria database describes crystalline KHfF5 at its relaxed geometry. The functional is PBE.

E_tot in eV per atom: -6.5212
Mass density in g/cm3: 3.601

Lattice parameters (Å, degrees): 4.1613 7.5672 9.1545 90.00 90.00 90.00
With the nearest neighbours (Å) after each atom.
Space group Immm (No. 71)
Unique sites:
K: 0.0000 0.0000 0.0000 (multiplicity 2)  6 F 2.61-2.74
Hf: 0.0000 0.0000 0.5000 (multiplicity 2)  6 F 1.97-2.08
F: 0.0000 0.0000 0.2847 (multiplicity 4)  1 Hf 1.97
F: 0.0000 0.2634 0.5000 (multiplicity 4)  1 Hf 1.99
F: 0.0000 0.5000 0.0000 (multiplicity 2)  2 Hf 2.08


[2]
This record from the Alexandria database describes crystalline Li2InAs at its relaxed geometry. The functional is PBE.

Mass density in g/cm3: 4.124
Formation energy from the elements in eV/atom: -0.375

Lattice parameters (Å, degrees): 4.3451 4.3451 15.0423 90.00 90.00 120.00
With the nearest neighbours (Å) after each atom.
Space group R3m (No. 160, hexagonal axes)
Unique sites:
Li: 0.0000 0.0000 0.0000 (multiplicity 3)  3 As 2.56
Li: 0.0000 0.0000 0.2414 (multiplicity 3)  3 As 2.66, 3 Li 2.86
In: 0.0000 0.0000 0.4466 (multiplicity 3)  1 As 2.82, 4 Li 3.03-3.09
As: 0.0000 0.0000 0.6342 (multiplicity 3)  6 Li 2.56-2.66, 1 In 2.82


Please write out number 1 again, unchanged.
This record from the Alexandria database describes crystalline KHfF5 at its relaxed geometry. The functional is PBE.

E_tot in eV per atom: -6.5212
Mass density in g/cm3: 3.601

Lattice parameters (Å, degrees): 4.1613 7.5672 9.1545 90.00 90.00 90.00
With the nearest neighbours (Å) after each atom.
Space group Immm (No. 71)
Unique sites:
K: 0.0000 0.0000 0.0000 (multiplicity 2)  6 F 2.61-2.74
Hf: 0.0000 0.0000 0.5000 (multiplicity 2)  6 F 1.97-2.08
F: 0.0000 0.0000 0.2847 (multiplicity 4)  1 Hf 1.97
F: 0.0000 0.2634 0.5000 (multiplicity 4)  1 Hf 1.99
F: 0.0000 0.5000 0.0000 (multiplicity 2)  2 Hf 2.08